No. 1
A plane-wave DFT calculation with PBE was carried out for a relaxed HfCu2Pt5 crystal.

The structure in POSCAR format:
```
HfCu2Pt5
1.0
-2.508 -3.329 -2.250
3.591 -4.112 -0.855
-2.496 -3.985 8.678
Pt Cu Hf
10 4 2
Cartesian
0.769 -6.854 1.325
1.772 -4.170 1.319
0.000 0.000 0.000
-3.185 -7.256 4.253
0.547 -4.048 3.911
-0.384 -3.773 -0.482
-1.354 -9.253 3.698
-2.182 -4.571 4.247
-1.029 -7.653 6.054
-0.060 -2.173 1.874
-2.910 -5.647 6.494
1.496 -5.778 -0.922
-0.969 -4.791 1.833
-0.445 -6.634 3.739
-1.248 -1.993 4.339
1.795 -2.056 -0.428
```

VASP energy   -6.5183 eV/atom
Fermi-level density of states   0.69 states/eV per atom
Theoretical density   17.020 g/cm³
Space-group type   P2_1/c (14)

=====

No. 2
A plane-wave DFT calculation with PBE was carried out for a relaxed Ca2AlHg crystal.

The structure in POSCAR format:
```
Ca2AlHg
1.0
-4.609 -2.428 -0.095
-1.748 -4.908 -0.060
-1.120 -1.201 6.417
Ca Al Hg
2 1 1
Cartesian
-0.010 -0.010 0.049
-3.729 -4.258 3.082
-1.869 -2.134 1.565
-5.608 -6.403 4.696
```

VASP energy   -2.1626 eV/atom
Fermi-level density of states   0.74 states/eV per atom
Theoretical density   4.315 g/cm³
Relative energy among the computed polymorphs   0.218 eV/atom
Space-group type   C2/m (12)

=====

No. 3
A plane-wave DFT calculation with PBE was carried out for a relaxed YMnH4 crystal.

The structure in POSCAR format:
```
YMnH4
1.0
5.002 0.157 0.000
-0.583 4.151 0.000
-2.209 -2.154 5.226
Mn H Y
2 8 2
Cartesian
3.752 0.118 1.762
-1.542 2.036 3.464
-0.290 1.066 2.769
2.590 3.340 0.479
-0.381 -1.186 4.747
4.330 1.047 0.479
2.791 -0.987 2.769
-2.120 1.107 4.747
-0.582 3.141 2.457
2.500 1.088 2.457
1.251 0.039 4.018
0.959 2.115 1.208
```

VASP energy   -5.1072 eV/atom
Fermi-level density of states   0.36 states/eV per atom
Theoretical density   4.505 g/cm³
Space-group type   C2/c (15)

=====

No. 4
A plane-wave DFT calculation with PBE was carried out for a relaxed RbHg2GeF8 crystal.

The structure in POSCAR format:
```
RbHg2GeF8
1.0
5.085 -0.102 0.003
-0.075 5.513 0.006
0.013 0.025 7.520
Hg F Rb Ge
2 8 1 1
Cartesian
2.511 2.718 5.694
2.512 2.717 1.835
2.622 4.036 3.768
0.694 4.477 6.231
4.350 0.984 6.223
3.541 4.294 7.524
0.673 4.451 1.306
4.329 0.958 1.298
1.482 1.142 0.005
2.401 1.400 3.761
0.007 0.012 3.760
0.000 0.000 0.000
```

Raw formation energy   -23.74 eV per formula unit
VASP energy   -3.7420 eV/atom
Fermi-level density of states   0.16 states/eV per atom
Theoretical density   5.604 g/cm³
Space-group type   P-1 (2)

=====

No. 5
A plane-wave DFT calculation with PBE was carried out for a relaxed KNdCuI6 crystal.

The structure in POSCAR format:
```
KNdCuI6
1.0
-7.827 1.764 -2.773
-6.286 -2.479 3.210
-1.358 6.675 4.238
I K Cu Nd
6 1 1 1
Cartesian
-7.338 1.257 2.470
-4.165 5.429 2.145
-10.441 2.237 -0.694
-8.289 5.450 2.760
-12.707 4.652 2.124
-5.221 2.768 -0.320
-7.497 4.389 7.181
-5.423 3.097 2.303
-9.986 3.002 2.201
```

Raw formation energy   -8.41 eV per formula unit
VASP energy   -3.0747 eV/atom
Fermi-level density of states   0.24 states/eV per atom
Theoretical density   4.035 g/cm³
Space-group type   P1 (1)

=====

No. 6
A plane-wave DFT calculation with PBE was carried out for a relaxed CdSn3Se6 crystal.

The structure in POSCAR format:
```
CdSn3Se6
1.0
7.475 0.102 0.000
-1.061 7.400 0.000
-3.207 -3.751 5.339
Se Sn Cd
6 3 1
Cartesian
1.592 1.862 1.403
1.066 5.581 0.000
5.348 1.921 0.000
1.615 1.889 3.936
-1.615 -1.889 3.936
4.822 5.640 1.403
3.207 3.751 0.000
-0.531 3.700 2.670
3.737 0.051 2.670
0.000 0.000 0.000
```

Raw formation energy   -1.03 eV per formula unit
VASP energy   -3.4856 eV/atom
Fermi-level density of states   0.33 states/eV per atom
Theoretical density   5.288 g/cm³
Space-group type   Fmmm (69)